# OsO2F3

A crystal of OsO2F3 relaxed with PBEsol (SCAN, the Alexandria database).

Computed properties:
Calculated volume ... 347.5 Å³/cell
VASP energy ... -17.22 eV per atom
Raw formation energy ... -134.5 kJ/mol of atoms

abc: 5.6005 5.1264 12.3311
angles: 90.00 101.00 90.00
Element x y z (fractional)
Os 0.0000 0.0166 0.0000
Os 0.0000 0.9834 0.5000
Os 0.6304 0.4644 0.2883
Os 0.6304 0.5356 0.7883
O 0.2240 0.0968 0.4404
O 0.2240 0.9032 0.9404
O 0.4418 0.4049 0.8675
O 0.4418 0.5951 0.3675
O 0.5020 0.1678 0.2532
O 0.5020 0.8322 0.7532
O 0.5641 0.3637 0.6681
O 0.5641 0.6363 0.1681
F 0.0800 0.1381 0.6398
F 0.0800 0.8619 0.1398
F 0.1463 0.3253 0.0622
F 0.1463 0.6747 0.5622
F 0.7052 0.1243 0.0364
F 0.7052 0.8757 0.5364
F 0.7980 0.3034 0.4503
F 0.7980 0.6966 0.9503
F 0.8595 0.2076 0.8585
F 0.8595 0.7924 0.3585
F 0.9495 0.3700 0.2742
F 0.9495 0.6300 0.7742